No. 1
# NaCe5P6 | the Alexandria database | GGA-PBE | relaxed
data_NaCe5P6
_chemical_formula_sum 'Na2 Ce10 P12'
_symmetry_space_group_name_H-M 'C 1 2/m 1'
_symmetry_Int_Tables_number 12
_symmetry_space_group_name_Hall '-C 2y'
_cell_length_a 7.130
_cell_length_b 12.324
_cell_length_c 7.108
_cell_angle_alpha 90.00
_cell_angle_beta 109.43
_cell_angle_gamma 90.00
loop_
_atom_site_label
_atom_site_type_symbol
_atom_site_fract_x
_atom_site_fract_y
_atom_site_fract_z
Na1 Na 0.000 0.000 0.000
Ce1 Ce 0.000 0.163 0.500
Ce2 Ce 0.000 0.332 0.000
Ce3 Ce 0.000 0.500 0.500
P1 P 0.239 0.500 0.256
P2 P 0.241 0.327 0.743
# formation enthalpy at 0 K: -1.2607 eV/atom

***

No. 2
# ScBeTc | the Alexandria database | GGA-PBE | relaxed
data_ScBeTc
_chemical_formula_sum 'Sc4 Be4 Tc4'
_symmetry_space_group_name_H-M 'F -4 3 m'
_symmetry_Int_Tables_number 216
_symmetry_space_group_name_Hall 'F -4 2 3'
_cell_length_a 5.721
_cell_length_b 5.721
_cell_length_c 5.721
_cell_angle_alpha 90.00
_cell_angle_beta 90.00
_cell_angle_gamma 90.00
loop_
_atom_site_label
_atom_site_type_symbol
_atom_site_fract_x
_atom_site_fract_y
_atom_site_fract_z
Sc1 Sc 0.000 0.000 0.000
Be1 Be 0.250 0.250 0.750
Tc1 Tc 0.000 0.000 0.500
# formation enthalpy at 0 K: 0.1974 eV/atom

***

No. 3
# ErGa6Re | the Alexandria database | GGA-PBE | relaxed
data_ErGa6Re
_chemical_formula_sum 'Er3 Ga18 Re3'
_symmetry_space_group_name_H-M 'R -3 m'
_symmetry_Int_Tables_number 166
_symmetry_space_group_name_Hall '-R 3 2"'
_cell_length_a 9.2793
_cell_length_b 9.2793
_cell_length_c 6.4734
_cell_angle_alpha 90.00
_cell_angle_beta 90.00
_cell_angle_gamma 120.00
loop_
_atom_site_label
_atom_site_type_symbol
_atom_site_fract_x
_atom_site_fract_y
_atom_site_fract_z
Er1 Er 0.0000 0.0000 0.0000
Ga1 Ga 0.0452 0.5226 0.3086
Re1 Re 0.0000 0.0000 0.5000
# formation enthalpy at 0 K: -0.1330 eV/atom

***

No. 4
# Pm10NdY4 | the Alexandria database | GGA-PBE | relaxed
data_Pm10NdY4
_chemical_formula_sum 'Pm20 Nd2 Y8'
_symmetry_space_group_name_H-M 'I 4/m'
_symmetry_Int_Tables_number 87
_symmetry_space_group_name_Hall '-I 4'
_cell_length_a 9.971
_cell_length_b 9.971
_cell_length_c 10.918
_cell_angle_alpha 90.00
_cell_angle_beta 90.00
_cell_angle_gamma 90.00
loop_
_atom_site_label
_atom_site_type_symbol
_atom_site_fract_x
_atom_site_fract_y
_atom_site_fract_z
Pm1 Pm 0.000 0.500 0.250
Pm2 Pm 0.117 0.775 0.170
Nd1 Nd 0.000 0.000 0.000
Y1 Y 0.059 0.718 0.500
# formation enthalpy at 0 K: 0.4200 eV/atom

***

No. 5
# Sr6CdPd | the Alexandria database | GGA-PBE | relaxed
data_Sr6CdPd
_chemical_formula_sum 'Sr6 Cd1 Pd1'
_symmetry_space_group_name_H-M 'P -1'
_symmetry_Int_Tables_number 2
_symmetry_space_group_name_Hall '-P 1'
_cell_length_a 7.668
_cell_length_b 7.671
_cell_length_c 8.622
_cell_angle_alpha 89.99
_cell_angle_beta 63.60
_cell_angle_gamma 60.05
loop_
_atom_site_label
_atom_site_type_symbol
_atom_site_fract_x
_atom_site_fract_y
_atom_site_fract_z
Sr1 Sr 0.027 0.407 0.237
Sr2 Sr 0.328 0.764 0.237
Sr3 Sr 0.330 0.934 0.762
Cd1 Cd 0.500 0.500 0.500
Pd1 Pd 0.500 0.000 0.000
# formation enthalpy at 0 K: -0.2211 eV/atom

***

No. 6
# SrSc2Zn | the Alexandria database | GGA-PBE | relaxed
data_SrSc2Zn
_chemical_formula_sum 'Sr1 Sc2 Zn1'
_symmetry_space_group_name_H-M 'P 1 2/m 1'
_symmetry_Int_Tables_number 10
_symmetry_space_group_name_Hall '-P 2y'
_cell_length_a 3.585
_cell_length_b 4.876
_cell_length_c 6.476
_cell_angle_alpha 90.00
_cell_angle_beta 105.48
_cell_angle_gamma 90.00
loop_
_atom_site_label
_atom_site_type_symbol
_atom_site_fract_x
_atom_site_fract_y
_atom_site_fract_z
Sr1 Sr 0.000 0.000 0.000
Sc1 Sc 0.335 0.500 0.700
Zn1 Zn 0.500 0.000 0.500
# formation enthalpy at 0 K: 0.1627 eV/atom